[1]
4
Lattice="4.5140 0.0000 0.0000 2.2570 3.9092 0.0000 2.2570 1.3031 6.9992" Properties=species:S:1:pos:R:3 comment="YInSb2 PBE optimized geometry" total_magnetization_mub_per_fu=0.00 density_g_cm3=6.01 energy_ev_per_atom=-4.7217 raw_formation_energy_kj_per_mol_atoms=-34.72 pbc="T T T"
Y 4.5140 2.6062 0.0251
In 4.5140 2.6062 3.5521
Sb 2.2570 1.3031 5.2763
Sb 2.2570 1.3031 1.6453

[2]
5
Lattice="4.7733 0.0000 0.0000 0.0000 4.7733 0.0000 0.0000 0.0000 4.7733" Properties=species:S:1:pos:R:3 comment="NbRu3Au PBE optimized geometry" total_magnetization_mub_per_fu=2.84 formation_energy_ev_per_atom=2.183 density_g_cm3=9.06 relative_energy_ev_per_atom=0.640 energy_ev_per_atom=-6.0518 pbc="T T T"
Ru 0.0000 2.3867 0.0000
Ru 0.0000 0.0000 2.3867
Ru 2.3867 0.0000 0.0000
Nb 2.3867 2.3867 2.3867
Au 0.0000 0.0000 0.0000

[3]
5
Lattice="-3.5870 -2.4723 3.3056 2.7675 -4.6896 -0.5043 2.3091 1.0119 3.2625" Properties=species:S:1:pos:R:3 comment="TlBAsBr2 PBE optimized geometry" total_magnetization_mub_per_fu=0.00 density_g_cm3=6.06 relative_energy_ev_per_atom=0.000 energy_ev_per_atom=-3.0332 raw_formation_energy_kj_per_mol_atoms=36.14 pbc="T T T"
Tl 0.7448 -3.0750 3.0319
B 0.0000 0.0000 0.0000
As 1.1546 0.5059 1.6312
Br 1.3838 -2.3448 -0.2521
Br -1.7935 -1.2361 1.6528

[4]
11
Lattice="8.0691 -1.1589 -0.0433 -0.9070 7.4408 4.0745 -0.8070 1.0818 6.7771" Properties=species:S:1:pos:R:3 comment="Sm7Ho2Er2 PBE optimized geometry" total_magnetization_mub_per_fu=0.00 formation_energy_ev_per_atom=0.140 density_g_cm3=7.75 relative_energy_ev_per_atom=0.000 energy_ev_per_atom=-4.5254 pbc="T T T"
Sm 5.7525 3.5113 5.9505
Sm 0.0983 7.1926 7.5781
Sm 0.6027 3.8525 4.8578
Sm 6.2569 0.1712 3.2302
Sm 0.0000 0.0000 0.0000
Sm 3.4185 5.3689 3.2437
Sm 3.7437 0.9130 0.7875
Ho 1.0586 2.8682 1.6756
Ho 6.1035 3.4137 2.3556
Er 2.9235 5.3381 6.7892
Er 3.4317 2.0257 4.0191

[5]
5
Lattice="4.7432 0.0000 0.0000 0.0000 4.8343 0.0000 0.0000 0.0000 4.7432" Properties=species:S:1:pos:R:3 comment="BiAsPPd2 PBE optimized geometry" total_magnetization_mub_per_fu=0.00 formation_energy_ev_per_atom=0.311 density_g_cm3=8.06 energy_ev_per_atom=-4.5545 pbc="T T T"
P 0.0000 2.4172 0.0000
As 0.0000 0.0000 0.0000
Bi 2.3716 2.4172 2.3716
Pd 0.0000 0.0000 2.3716
Pd 2.3716 0.0000 0.0000

[6]
14
Lattice="0.0000 4.8364 4.8364 4.8364 0.0000 4.8364 4.8364 4.8364 0.0000" Properties=species:S:1:pos:R:3 comment="ZnFe2S4 PBE optimized geometry" total_magnetization_mub_per_fu=2.01 density_g_cm3=4.48 energy_ev_per_atom=-5.3939 raw_formation_energy_kj_per_mol_atoms=-42.02 pbc="T T T"
Zn 0.0000 0.0000 0.0000
Zn 2.4182 2.4182 2.4182
Fe 6.0455 6.0455 6.0455
Fe 3.6273 6.0455 3.6273
Fe 3.6273 3.6273 6.0455
Fe 6.0455 3.6273 3.6273
S 8.3256 8.3256 8.3256
S 5.9074 3.7653 5.9074
S 3.7653 5.9074 5.9074
S 5.9074 5.9074 3.7653
S 8.3256 6.1835 6.1835
S 6.1835 6.1835 8.3256
S 3.7653 3.7653 3.7653
S 6.1835 8.3256 6.1835

[7]
14
Lattice="-1.8540 3.5197 1.7774 -8.1521 -1.7222 0.2473 -1.7553 -2.1912 7.8487" Properties=species:S:1:pos:R:3 comment="Pm3Al9Pd2 PBE optimized geometry" total_magnetization_mub_per_fu=0.00 formation_energy_ev_per_atom=-0.623 density_g_cm3=5.40 energy_ev_per_atom=-4.7892 pbc="T T T"
Pm 0.0000 0.0000 0.0000
Pm -4.3172 1.2462 3.7100
Pm -7.4443 -1.6399 6.1634
Al -4.9537 -1.9567 4.0480
Al -10.4191 -0.9129 6.9614
Al -1.3424 0.5193 2.9120
Al -8.6984 -1.0391 9.0061
Al -3.0631 0.6454 0.8673
Al -9.2477 0.7083 4.9726
Al -2.5138 -1.1020 4.9007
Al -6.4426 0.5027 8.3060
Al -5.3189 -0.8963 1.5674
Pd -4.5752 -0.2925 6.4881
Pd -7.1863 -0.1011 3.3853

[8]
5
Lattice="5.3343 0.0000 0.0000 0.0000 4.7460 0.0000 0.0000 0.0000 5.3343" Properties=species:S:1:pos:R:3 comment="AlGaSiSb2 PBE optimized geometry" total_magnetization_mub_per_fu=0.00 density_g_cm3=4.53 energy_ev_per_atom=-3.4711 raw_formation_energy_kj_per_mol_atoms=59.47 pbc="T T T"
Sb 0.0000 0.0000 2.6671
Sb 2.6671 0.0000 0.0000
Si 0.0000 2.3730 0.0000
Al 0.0000 0.0000 0.0000
Ga 2.6671 2.3730 2.6671

[9]
10
Lattice="4.5897 0.0000 0.0000 0.0000 4.5897 0.0000 0.0000 0.0000 11.3422" Properties=species:S:1:pos:R:3 comment="Ac2TbGe4Au3 PBE optimized geometry" total_magnetization_mub_per_fu=0.00 formation_energy_ev_per_atom=-0.673 density_g_cm3=10.39 energy_ev_per_atom=-4.7875 pbc="T T T"
Ac 2.2948 0.0000 2.6165
Ac 0.0000 2.2948 8.7258
Tb 2.2948 2.2948 5.6711
Ge 2.2948 2.2948 0.0000
Ge 0.0000 0.0000 0.0000
Ge 2.2948 0.0000 7.3798
Ge 0.0000 2.2948 3.9624
Au 0.0000 0.0000 5.6711
Au 2.2948 0.0000 9.9876
Au 0.0000 2.2948 1.3547

[10]
4
Lattice="2.7158 0.0000 0.0000 0.0000 2.7158 0.0000 0.0000 0.0000 7.9567" Properties=species:S:1:pos:R:3 comment="TaCu2W PBE optimized geometry" total_magnetization_mub_per_fu=0.00 formation_energy_ev_per_atom=0.159 density_g_cm3=13.92 relative_energy_ev_per_atom=0.019 energy_ev_per_atom=-8.0907 pbc="T T T"
Cu 0.0000 0.0000 0.1215
Cu 1.3579 1.3579 1.8194
Ta 0.0000 0.0000 3.8258
W 1.3579 1.3579 6.1683

[11]
5
Lattice="4.7295 0.0000 0.0000 0.0000 4.7295 0.0000 0.0000 0.0000 4.7295" Properties=species:S:1:pos:R:3 comment="NbCuCl3 PBE optimized geometry" total_magnetization_mub_per_fu=3.27 density_g_cm3=4.13 relative_energy_ev_per_atom=0.322 energy_ev_per_atom=-3.7551 raw_formation_energy_kj_per_mol_atoms=17.95 pbc="T T T"
Nb 2.3647 2.3647 2.3647
Cu 0.0000 0.0000 0.0000
Cl 0.0000 2.3647 0.0000
Cl 0.0000 0.0000 2.3647
Cl 2.3647 0.0000 0.0000

[12]
12
Lattice="-2.9739 5.4543 -0.1439 -2.2928 -4.6981 3.3594 7.9313 3.3648 8.2093" Properties=species:S:1:pos:R:3 comment="LaTb6Sm3Ho2 PBE optimized geometry" total_magnetization_mub_per_fu=0.00 formation_energy_ev_per_atom=0.017 density_g_cm3=7.93 energy_ev_per_atom=-4.6511 pbc="T T T"
La 0.0000 0.0000 0.0000
Tb 1.8916 4.7895 7.9792
Tb -1.9620 1.4075 4.4603
Tb 0.7729 -0.6684 3.4456
Tb 2.1196 1.3910 9.1519
Tb 4.6265 2.7136 6.9645
Tb 0.5449 2.7300 2.2729
Sm 1.5590 -1.3196 6.8788
Sm 1.1055 5.4407 4.5460
Sm 1.3322 2.0605 5.7124
Ho -2.5199 -1.3143 2.1917
Ho -2.7469 2.0705 1.0238

Copy entry 9 word for word.
10
Lattice="4.5897 0.0000 0.0000 0.0000 4.5897 0.0000 0.0000 0.0000 11.3422" Properties=species:S:1:pos:R:3 comment="Ac2TbGe4Au3 PBE optimized geometry" total_magnetization_mub_per_fu=0.00 formation_energy_ev_per_atom=-0.673 density_g_cm3=10.39 energy_ev_per_atom=-4.7875 pbc="T T T"
Ac 2.2948 0.0000 2.6165
Ac 0.0000 2.2948 8.7258
Tb 2.2948 2.2948 5.6711
Ge 2.2948 2.2948 0.0000
Ge 0.0000 0.0000 0.0000
Ge 2.2948 0.0000 7.3798
Ge 0.0000 2.2948 3.9624
Au 0.0000 0.0000 5.6711
Au 2.2948 0.0000 9.9876
Au 0.0000 2.2948 1.3547